No. 1
# Cs2SmCdCl6

A relaxed Cs2SmCdCl6 crystal (PBE, the Alexandria database).

D(E_F) in states/eV/atom: 0.30
E_form (uncorrected) in eV/atom: -1.807
Space-group type: No. 59
Total magnetization in μB per formula unit: 0.7

Geometry as CIF:
```
data_Cs2SmCdCl6
_cell_length_a 7.984
_cell_length_b 7.980
_cell_length_c 11.289
_cell_angle_alpha 90.00
_cell_angle_beta 90.00
_cell_angle_gamma 90.00
_space_group_name_H-M_alt 'P 1'
_space_group_IT_number 1
loop_
_space_group_symop_operation_xyz
'x,y,z'
loop_
_atom_site_label
_atom_site_type_symbol
_atom_site_fract_x
_atom_site_fract_y
_atom_site_fract_z
Cl1 Cl 0.761 0.507 0.500
Cl2 Cl 0.760 0.986 0.500
Cl3 Cl 0.261 0.493 0.000
Cl4 Cl 0.000 0.748 0.260
Cl5 Cl 0.239 0.507 0.500
Cl6 Cl 0.500 0.252 0.760
Cl7 Cl 0.500 0.252 0.240
Cl8 Cl 0.240 0.986 0.500
Cl9 Cl 0.000 0.748 0.740
Cl10 Cl 0.260 0.014 0.000
Cl11 Cl 0.739 0.493 0.000
Cl12 Cl 0.740 0.014 0.000
Cs1 Cs 0.500 0.750 0.750
Cs2 Cs 0.000 0.250 0.250
Cs3 Cs 0.500 0.750 0.250
Cs4 Cs 0.000 0.250 0.750
Cd1 Cd 0.500 0.248 0.500
Cd2 Cd 0.000 0.752 0.000
Sm1 Sm 0.000 0.748 0.500
Sm2 Sm 0.500 0.252 0.000
```

---

No. 2
# Cs3Cd2SnCl9

A relaxed Cs3Cd2SnCl9 crystal (PBE, the Alexandria database).

D(E_F) in states/eV/atom: 0.00
E_form (uncorrected) in eV/atom: -1.470
Space-group type: No. 164
Total magnetization in μB per formula unit: 0.0

Geometry as CIF:
```
data_Cs3Cd2SnCl9
_cell_length_a 7.665
_cell_length_b 7.665
_cell_length_c 9.403
_cell_angle_alpha 90.00
_cell_angle_beta 90.00
_cell_angle_gamma 120.00
_space_group_name_H-M_alt 'P 1'
_space_group_IT_number 1
loop_
_space_group_symop_operation_xyz
'x,y,z'
loop_
_atom_site_label
_atom_site_type_symbol
_atom_site_fract_x
_atom_site_fract_y
_atom_site_fract_z
Cd1 Cd 0.667 0.333 0.840
Cd2 Cd 0.333 0.667 0.160
Cs1 Cs 0.333 0.667 0.671
Cs2 Cs 0.667 0.333 0.329
Cs3 Cs 0.000 0.000 0.000
Cl1 Cl 0.829 0.658 0.674
Cl2 Cl 0.658 0.829 0.326
Cl3 Cl 0.342 0.171 0.674
Cl4 Cl 0.171 0.829 0.326
Cl5 Cl 0.000 0.500 0.000
Cl6 Cl 0.829 0.171 0.674
Cl7 Cl 0.500 0.000 0.000
Cl8 Cl 0.171 0.342 0.326
Cl9 Cl 0.500 0.500 0.000
Sn1 Sn 0.000 0.000 0.500
```

---

No. 3
# CsCdSnCl5

A relaxed CsCdSnCl5 crystal (PBE, the Alexandria database).

D(E_F) in states/eV/atom: 0.00
E_form (uncorrected) in eV/atom: -1.299
Space-group type: No. 15
Total magnetization in μB per formula unit: 0.0

Geometry as CIF:
```
data_CsCdSnCl5
_cell_length_a 8.027
_cell_length_b 8.027
_cell_length_c 10.380
_cell_angle_alpha 103.75
_cell_angle_beta 103.75
_cell_angle_gamma 106.85
_space_group_name_H-M_alt 'P 1'
_space_group_IT_number 1
loop_
_space_group_symop_operation_xyz
'x,y,z'
loop_
_atom_site_label
_atom_site_type_symbol
_atom_site_fract_x
_atom_site_fract_y
_atom_site_fract_z
Cl1 Cl 0.686 0.101 0.393
Cl2 Cl 0.381 0.243 0.069
Cl3 Cl 0.314 0.899 0.607
Cl4 Cl 0.619 0.757 0.931
Cl5 Cl 0.074 0.926 0.250
Cl6 Cl 0.101 0.686 0.893
Cl7 Cl 0.243 0.381 0.569
Cl8 Cl 0.926 0.074 0.750
Cl9 Cl 0.899 0.314 0.107
Cl10 Cl 0.757 0.619 0.431
Cd1 Cd 0.687 0.313 0.250
Cd2 Cd 0.313 0.687 0.750
Sn1 Sn 0.000 0.000 0.500
Sn2 Sn 0.000 0.000 0.000
Cs1 Cs 0.340 0.660 0.250
Cs2 Cs 0.660 0.340 0.750
```

---

No. 4
# CsCdSnCl2

A relaxed CsCdSnCl2 crystal (PBE, the Alexandria database).

D(E_F) in states/eV/atom: 0.75
E_form (uncorrected) in eV/atom: -0.097
Space-group type: No. 123
Total magnetization in μB per formula unit: 1.0

Geometry as CIF:
```
data_CsCdSnCl2
_cell_length_a 6.277
_cell_length_b 6.603
_cell_length_c 6.277
_cell_angle_alpha 90.00
_cell_angle_beta 90.00
_cell_angle_gamma 90.00
_space_group_name_H-M_alt 'P 1'
_space_group_IT_number 1
loop_
_space_group_symop_operation_xyz
'x,y,z'
loop_
_atom_site_label
_atom_site_type_symbol
_atom_site_fract_x
_atom_site_fract_y
_atom_site_fract_z
Cs1 Cs 0.000 0.000 0.000
Cl1 Cl 0.000 0.000 0.500
Cl2 Cl 0.500 0.000 0.000
Cd1 Cd 0.000 0.500 0.000
Sn1 Sn 0.500 0.500 0.500
```

---

No. 5
# Cs2SrCdCl6

A relaxed Cs2SrCdCl6 crystal (PBE, the Alexandria database).

D(E_F) in states/eV/atom: 0.00
E_form (uncorrected) in eV/atom: -1.888
Space-group type: No. 225
Total magnetization in μB per formula unit: 0.0

Geometry as CIF:
```
data_Cs2SrCdCl6
_cell_length_a 7.804
_cell_length_b 7.804
_cell_length_c 7.804
_cell_angle_alpha 60.00
_cell_angle_beta 60.00
_cell_angle_gamma 90.00
_space_group_name_H-M_alt 'P 1'
_space_group_IT_number 1
loop_
_space_group_symop_operation_xyz
'x,y,z'
loop_
_atom_site_label
_atom_site_type_symbol
_atom_site_fract_x
_atom_site_fract_y
_atom_site_fract_z
Cs1 Cs 0.250 0.750 0.500
Cs2 Cs 0.750 0.250 0.500
Cl1 Cl 0.759 0.759 0.482
Cl2 Cl 0.241 0.241 0.000
Cl3 Cl 0.759 0.241 0.000
Cl4 Cl 0.759 0.759 0.000
Cl5 Cl 0.241 0.759 0.000
Cl6 Cl 0.241 0.241 0.518
Cd1 Cd 0.000 0.000 0.000
Sr1 Sr 0.500 0.500 0.000
```

---

No. 6
# CsSrCd2Cl

A relaxed CsSrCd2Cl crystal (PBE, the Alexandria database).

D(E_F) in states/eV/atom: 0.87
E_form (uncorrected) in eV/atom: -0.420
Space-group type: No. 123
Total magnetization in μB per formula unit: 0.0

Geometry as CIF:
```
data_CsSrCd2Cl
_cell_length_a 6.721
_cell_length_b 5.450
_cell_length_c 6.721
_cell_angle_alpha 90.00
_cell_angle_beta 90.00
_cell_angle_gamma 90.00
_space_group_name_H-M_alt 'P 1'
_space_group_IT_number 1
loop_
_space_group_symop_operation_xyz
'x,y,z'
loop_
_atom_site_label
_atom_site_type_symbol
_atom_site_fract_x
_atom_site_fract_y
_atom_site_fract_z
Sr1 Sr 0.000 0.500 0.000
Cd1 Cd 0.500 0.000 0.000
Cd2 Cd 0.000 0.000 0.500
Cs1 Cs 0.500 0.500 0.500
Cl1 Cl 0.000 0.000 0.000
```

---

No. 7
# CsSrCdCl5

A relaxed CsSrCdCl5 crystal (PBE, the Alexandria database).

D(E_F) in states/eV/atom: 0.00
E_form (uncorrected) in eV/atom: -1.845
Space-group type: No. 15
Total magnetization in μB per formula unit: 0.2

Geometry as CIF:
```
data_CsSrCdCl5
_cell_length_a 8.099
_cell_length_b 8.099
_cell_length_c 10.536
_cell_angle_alpha 103.93
_cell_angle_beta 103.93
_cell_angle_gamma 106.59
_space_group_name_H-M_alt 'P 1'
_space_group_IT_number 1
loop_
_space_group_symop_operation_xyz
'x,y,z'
loop_
_atom_site_label
_atom_site_type_symbol
_atom_site_fract_x
_atom_site_fract_y
_atom_site_fract_z
Cl1 Cl 0.684 0.100 0.387
Cl2 Cl 0.079 0.921 0.250
Cl3 Cl 0.316 0.900 0.613
Cl4 Cl 0.382 0.246 0.075
Cl5 Cl 0.921 0.079 0.750
Cl6 Cl 0.246 0.382 0.575
Cl7 Cl 0.754 0.618 0.425
Cl8 Cl 0.900 0.316 0.113
Cl9 Cl 0.100 0.684 0.887
Cl10 Cl 0.618 0.754 0.925
Cs1 Cs 0.341 0.659 0.250
Cs2 Cs 0.659 0.341 0.750
Cd1 Cd 0.313 0.687 0.750
Cd2 Cd 0.687 0.313 0.250
Sr1 Sr 0.000 0.000 0.000
Sr2 Sr 0.000 0.000 0.500
```

---

No. 8
# CsTbCdCl6

A relaxed CsTbCdCl6 crystal (PBE, the Alexandria database).

D(E_F) in states/eV/atom: 0.00
E_form (uncorrected) in eV/atom: -1.864
Space-group type: No. 149
Total magnetization in μB per formula unit: 0.0

Geometry as CIF:
```
data_CsTbCdCl6
_cell_length_a 7.017
_cell_length_b 7.017
_cell_length_c 7.697
_cell_angle_alpha 90.00
_cell_angle_beta 90.00
_cell_angle_gamma 60.00
_space_group_name_H-M_alt 'P 1'
_space_group_IT_number 1
loop_
_space_group_symop_operation_xyz
'x,y,z'
loop_
_atom_site_label
_atom_site_type_symbol
_atom_site_fract_x
_atom_site_fract_y
_atom_site_fract_z
Cl1 Cl 0.382 0.000 0.700
Cl2 Cl 0.382 0.618 0.300
Cl3 Cl 0.000 0.618 0.700
Cl4 Cl 0.000 0.382 0.300
Cl5 Cl 0.618 0.382 0.700
Cl6 Cl 0.618 0.000 0.300
Cs1 Cs 0.000 0.000 0.000
Cd1 Cd 0.667 0.667 0.500
Tb1 Tb 0.333 0.333 0.500
```

---

No. 9
# Cs2CdTeCl6

A relaxed Cs2CdTeCl6 crystal (PBE, the Alexandria database).

D(E_F) in states/eV/atom: 0.18
E_form (uncorrected) in eV/atom: -1.176
Space-group type: No. 139
Total magnetization in μB per formula unit: 0.0

Geometry as CIF:
```
data_Cs2CdTeCl6
_cell_length_a 7.877
_cell_length_b 7.877
_cell_length_c 7.796
_cell_angle_alpha 59.66
_cell_angle_beta 59.66
_cell_angle_gamma 90.00
_space_group_name_H-M_alt 'P 1'
_space_group_IT_number 1
loop_
_space_group_symop_operation_xyz
'x,y,z'
loop_
_atom_site_label
_atom_site_type_symbol
_atom_site_fract_x
_atom_site_fract_y
_atom_site_fract_z
Cl1 Cl 0.734 0.266 0.000
Cl2 Cl 0.734 0.734 0.000
Cl3 Cl 0.266 0.734 0.000
Cl4 Cl 0.764 0.764 0.472
Cl5 Cl 0.236 0.236 0.528
Cl6 Cl 0.266 0.266 0.000
Cs1 Cs 0.750 0.250 0.500
Cs2 Cs 0.250 0.750 0.500
Te1 Te 0.000 0.000 0.000
Cd1 Cd 0.500 0.500 0.000
```

---

No. 10
# Cs3TlCd2Cl8

A relaxed Cs3TlCd2Cl8 crystal (PBE, the Alexandria database).

D(E_F) in states/eV/atom: 0.00
E_form (uncorrected) in eV/atom: -1.470
Space-group type: No. 164
Total magnetization in μB per formula unit: 0.0

Geometry as CIF:
```
data_Cs3TlCd2Cl8
_cell_length_a 7.987
_cell_length_b 7.987
_cell_length_c 9.990
_cell_angle_alpha 90.00
_cell_angle_beta 90.00
_cell_angle_gamma 120.00
_space_group_name_H-M_alt 'P 1'
_space_group_IT_number 1
loop_
_space_group_symop_operation_xyz
'x,y,z'
loop_
_atom_site_label
_atom_site_type_symbol
_atom_site_fract_x
_atom_site_fract_y
_atom_site_fract_z
Cl1 Cl 0.658 0.829 0.302
Cl2 Cl 0.171 0.829 0.302
Cl3 Cl 0.171 0.342 0.302
Cl4 Cl 0.829 0.658 0.698
Cl5 Cl 0.342 0.171 0.698
Cl6 Cl 0.333 0.667 0.946
Cl7 Cl 0.829 0.171 0.698
Cl8 Cl 0.667 0.333 0.054
Cd1 Cd 0.667 0.333 0.812
Cd2 Cd 0.333 0.667 0.188
Cs1 Cs 0.667 0.333 0.385
Cs2 Cs 0.333 0.667 0.615
Cs3 Cs 0.000 0.000 0.000
Tl1 Tl 0.000 0.000 0.500
```

---

No. 11
# CsTl2CdCl8

A relaxed CsTl2CdCl8 crystal (PBE, the Alexandria database).

D(E_F) in states/eV/atom: 0.57
E_form (uncorrected) in eV/atom: -0.958
Space-group type: No. 148
Total magnetization in μB per formula unit: 0.0

Geometry as CIF:
```
data_CsTl2CdCl8
_cell_length_a 6.867
_cell_length_b 6.867
_cell_length_c 10.539
_cell_angle_alpha 70.99
_cell_angle_beta 70.99
_cell_angle_gamma 60.00
_space_group_name_H-M_alt 'P 1'
_space_group_IT_number 1
loop_
_space_group_symop_operation_xyz
'x,y,z'
loop_
_atom_site_label
_atom_site_type_symbol
_atom_site_fract_x
_atom_site_fract_y
_atom_site_fract_z
Cl1 Cl 0.089 0.351 0.843
Cl2 Cl 0.284 0.911 0.157
Cl3 Cl 0.716 0.089 0.843
Cl4 Cl 0.649 0.284 0.157
Cl5 Cl 0.173 0.173 0.480
Cl6 Cl 0.827 0.827 0.520
Cl7 Cl 0.911 0.649 0.157
Cl8 Cl 0.351 0.716 0.843
Cd1 Cd 0.000 0.000 0.000
Tl1 Tl 0.740 0.740 0.780
Tl2 Tl 0.260 0.260 0.220
Cs1 Cs 0.500 0.500 0.500
```

---

No. 12
# Cs3Tl2CdCl9

A relaxed Cs3Tl2CdCl9 crystal (PBE, the Alexandria database).

D(E_F) in states/eV/atom: 0.08
E_form (uncorrected) in eV/atom: -1.352
Space-group type: No. 164
Total magnetization in μB per formula unit: 0.0

Geometry as CIF:
```
data_Cs3Tl2CdCl9
_cell_length_a 7.783
_cell_length_b 7.783
_cell_length_c 9.533
_cell_angle_alpha 90.00
_cell_angle_beta 90.00
_cell_angle_gamma 120.00
_space_group_name_H-M_alt 'P 1'
_space_group_IT_number 1
loop_
_space_group_symop_operation_xyz
'x,y,z'
loop_
_atom_site_label
_atom_site_type_symbol
_atom_site_fract_x
_atom_site_fract_y
_atom_site_fract_z
Cs1 Cs 0.333 0.667 0.658
Cs2 Cs 0.000 0.000 0.000
Cs3 Cs 0.667 0.333 0.342
Cl1 Cl 0.500 0.500 0.000
Cl2 Cl 0.676 0.838 0.341
Cl3 Cl 0.838 0.162 0.659
Cl4 Cl 0.838 0.676 0.659
Cl5 Cl 0.162 0.324 0.341
Cl6 Cl 0.500 0.000 0.000
Cl7 Cl 0.324 0.162 0.659
Cl8 Cl 0.162 0.838 0.341
Cl9 Cl 0.000 0.500 0.000
Cd1 Cd 0.000 0.000 0.500
Tl1 Tl 0.333 0.667 0.169
Tl2 Tl 0.667 0.333 0.831
```

---

Among the records above, which one has the highest E_form (uncorrected)? CsCdSnCl2